1.
# PrPuCuSe4

Crystalline PrPuCuSe4 at its relaxed geometry (PBE-GGA, Alexandria via LeMat-Bulk).

```
data_PrPuCuSe4
_symmetry_space_group_name_H-M 'P 1 21/m 1'
_symmetry_Int_Tables_number 11
_symmetry_space_group_name_Hall '-P 2yb'
_cell_length_a 7.147
_cell_length_b 5.829
_cell_length_c 8.360
_cell_angle_alpha 90.00
_cell_angle_beta 106.75
_cell_angle_gamma 90.00
loop_
_atom_site_label
_atom_site_fract_x
_atom_site_fract_y
_atom_site_fract_z
Pr1 0.237 0.250 0.432
Pu1 0.231 0.250 0.937
Cu1 0.242 0.750 0.184
Se1 0.072 0.750 0.392
Se2 0.077 0.750 0.893
Se3 0.483 0.509 0.751
```

## Properties
For the formation energy without anion corrections, the calculation gives -118.4 kJ per mole of atoms. For the total DFT energy (no corrections), the calculation gives -91.47 eV per cell.

2.
# Zn2HgRuBr

Crystalline Zn2HgRuBr at its relaxed geometry (PBE-GGA, Alexandria via LeMat-Bulk).

```
data_Zn2HgRuBr
_symmetry_space_group_name_H-M 'P 4/m m m'
_symmetry_Int_Tables_number 123
_symmetry_space_group_name_Hall '-P 4 2'
_cell_length_a 4.925
_cell_length_b 4.925
_cell_length_c 6.158
_cell_angle_alpha 90.00
_cell_angle_beta 90.00
_cell_angle_gamma 90.00
loop_
_atom_site_label
_atom_site_fract_x
_atom_site_fract_y
_atom_site_fract_z
Zn1 0.000 0.500 0.000
Hg1 0.000 0.000 0.000
Ru1 0.500 0.500 0.500
Br1 0.000 0.000 0.500
```

## Properties
For the formation energy without anion corrections, the calculation gives 111.3 kJ per mole of atoms. For the total DFT energy (no corrections), the calculation gives -8.03 eV per cell.

3.
# CdAg3Os

Crystalline CdAg3Os at its relaxed geometry (PBE-GGA, Alexandria via LeMat-Bulk).

```
data_CdAg3Os
_symmetry_space_group_name_H-M 'P m -3 m'
_symmetry_Int_Tables_number 221
_symmetry_space_group_name_Hall '-P 4 2 3'
_cell_length_a 5.114
_cell_length_b 5.114
_cell_length_c 5.114
_cell_angle_alpha 90.00
_cell_angle_beta 90.00
_cell_angle_gamma 90.00
loop_
_atom_site_label
_atom_site_fract_x
_atom_site_fract_y
_atom_site_fract_z
Cd1 0.000 0.000 0.000
Ag1 0.000 0.500 0.500
Os1 0.500 0.500 0.500
```

## Properties
The energy above the most stable polymorph in this dataset comes out at 0.00 kcal/mol of atoms. For the total DFT energy (no corrections), the calculation gives -13.88 eV per cell.